Entry 1:
Zr6NiSn2H10 at its PBEsol-relaxed geometry. Source: the Alexandria database, functional meta-GGA SCAN.

Computed properties:
- DFT total energy (eV/f.u.) = -317.1
- V (Å³ per cell) = 408.5

Cell: 8.0431 8.0431 7.2906 Å, 90.00 90.00 120.00°
Atoms (fractional coordinates):
Zr 0.0000 0.7417 0.0000
Zr 0.0000 0.7417 0.5000
Zr 0.0472 0.4154 0.2500
Zr 0.2583 0.2583 0.0000
Zr 0.2583 0.2583 0.5000
Zr 0.3683 0.9528 0.2500
Zr 0.4154 0.0472 0.7500
Zr 0.5846 0.6317 0.2500
Zr 0.6317 0.5846 0.7500
Zr 0.7417 0.0000 0.0000
Zr 0.7417 0.0000 0.5000
Zr 0.9528 0.3683 0.7500
Ni 0.0000 0.0000 0.2500
Ni 0.0000 0.0000 0.7500
Sn 0.3333 0.6667 0.5398
Sn 0.3333 0.6667 0.9602
Sn 0.6667 0.3333 0.0398
Sn 0.6667 0.3333 0.4602
H 0.0000 0.0000 0.0000
H 0.0000 0.0000 0.5000
H 0.0000 0.2729 0.0000
H 0.0000 0.2729 0.5000
H 0.1042 0.7027 0.2500
H 0.1179 0.8771 0.7500
H 0.1229 0.2408 0.7500
H 0.2408 0.1229 0.2500
H 0.2729 0.0000 0.0000
H 0.2729 0.0000 0.5000
H 0.2973 0.4015 0.2500
H 0.4015 0.2973 0.7500
H 0.5985 0.8958 0.2500
H 0.7027 0.1042 0.7500
H 0.7271 0.7271 0.0000
H 0.7271 0.7271 0.5000
H 0.7592 0.8821 0.7500
H 0.8771 0.1179 0.2500
H 0.8821 0.7592 0.2500
H 0.8958 0.5985 0.7500

***

Entry 2:
SrNi2H2 at its PBEsol-relaxed geometry. Source: the Alexandria database, functional meta-GGA SCAN.

Computed properties:
- DFT total energy (eV/f.u.) = -61.9
- V (Å³ per cell) = 60.2

Cell: 5.6045 5.6045 5.6045 Å, 144.11 144.11 51.66°
Atoms (fractional coordinates):
Sr 0.0000 0.0000 0.0000
Ni 0.2774 0.2774 0.0000
Ni 0.7226 0.7226 0.0000
H 0.2500 0.7500 0.5000
H 0.7500 0.2500 0.5000

***

Entry 3:
Sr2NiHW at its PBEsol-relaxed geometry. Source: the Alexandria database, functional meta-GGA SCAN.

Computed properties:
- DFT total energy (eV/f.u.) = -129.9
- V (Å³ per cell) = 101.4

Cell: 5.2108 5.2108 3.7353 Å, 90.00 90.00 90.00°
Atoms (fractional coordinates):
Sr 0.0000 0.5000 0.0000
Sr 0.5000 0.0000 0.0000
Ni 0.0000 0.0000 0.5000
H 0.5000 0.5000 0.0000
W 0.5000 0.5000 0.5000

***

Entry 4:
NiTe3H at its PBEsol-relaxed geometry. Source: the Alexandria database, functional meta-GGA SCAN.

Computed properties:
- DFT total energy (eV/f.u.) = -127.7
- V (Å³ per cell) = 125.6

Cell: 5.0086 5.0086 5.0086 Å, 90.00 90.00 90.00°
Atoms (fractional coordinates):
Ni 0.0000 0.0000 0.0000
Te 0.0000 0.0000 0.5000
Te 0.0000 0.5000 0.0000
Te 0.5000 0.0000 0.0000
H 0.5000 0.5000 0.5000

***

Entry 5:
Ni2TeH2 at its PBEsol-relaxed geometry. Source: the Alexandria database, functional meta-GGA SCAN.

Computed properties:
- DFT total energy (eV/f.u.) = -76.0
- V (Å³ per cell) = 52.9

Cell: 5.0109 5.0109 5.0109 Å, 139.35 139.35 58.84°
Atoms (fractional coordinates):
Ni 0.2500 0.7500 0.5000
Ni 0.7500 0.2500 0.5000
Te 0.0000 0.0000 0.0000
H 0.2944 0.2944 0.0000
H 0.7056 0.7056 0.0000

***

Entry 6:
TiNi2H2 at its PBEsol-relaxed geometry. Source: the Alexandria database, functional meta-GGA SCAN.

Computed properties:
- DFT total energy (eV/f.u.) = -56.6
- V (Å³ per cell) = 40.4

Cell: 4.4989 4.4989 4.4989 Å, 137.94 137.94 61.00°
Atoms (fractional coordinates):
Ti 0.0000 0.0000 0.0000
Ni 0.3353 0.3353 0.0000
Ni 0.6647 0.6647 0.0000
H 0.2500 0.7500 0.5000
H 0.7500 0.2500 0.5000

***

Entry 7:
Ti3NiH at its PBEsol-relaxed geometry. Source: the Alexandria database, functional meta-GGA SCAN.

Computed properties:
- DFT total energy (eV/f.u.) = -68.9
- V (Å³ per cell) = 60.5

Cell: 3.9253 3.9253 3.9253 Å, 90.00 90.00 90.00°
Atoms (fractional coordinates):
Ti 0.0000 0.0000 0.5000
Ti 0.0000 0.5000 0.0000
Ti 0.5000 0.0000 0.0000
Ni 0.5000 0.5000 0.5000
H 0.0000 0.0000 0.0000

***

Entry 8:
Ti2NiH at its PBEsol-relaxed geometry. Source: the Alexandria database, functional meta-GGA SCAN.

Computed properties:
- DFT total energy (eV/f.u.) = -53.2
- V (Å³ per cell) = 356.2

Cell: 7.9570 7.9570 7.9570 Å, 60.00 60.00 60.00°
Atoms (fractional coordinates):
Ti 0.0000 0.0000 0.0000
Ti 0.0000 0.0000 0.5000
Ti 0.0000 0.5000 0.0000
Ti 0.1844 0.1844 0.5656
Ti 0.1844 0.5656 0.1844
Ti 0.1844 0.5656 0.5656
Ti 0.4344 0.4344 0.8156
Ti 0.4344 0.8156 0.4344
Ti 0.4344 0.8156 0.8156
Ti 0.5000 0.0000 0.0000
Ti 0.5656 0.1844 0.1844
Ti 0.5656 0.1844 0.5656
Ti 0.5656 0.5656 0.1844
Ti 0.8156 0.4344 0.4344
Ti 0.8156 0.4344 0.8156
Ti 0.8156 0.8156 0.4344
Ni 0.1449 0.7850 0.7850
Ni 0.2150 0.2150 0.2150
Ni 0.2150 0.2150 0.8551
Ni 0.2150 0.8551 0.2150
Ni 0.7850 0.1449 0.7850
Ni 0.7850 0.7850 0.1449
Ni 0.7850 0.7850 0.7850
Ni 0.8551 0.2150 0.2150
H 0.0000 0.5000 0.5000
H 0.1250 0.1250 0.1250
H 0.3750 0.3750 0.3750
H 0.5000 0.0000 0.5000
H 0.5000 0.5000 0.0000
H 0.5000 0.5000 0.5000
H 0.6250 0.6250 0.6250
H 0.8750 0.8750 0.8750

***

Entry 9:
YTiNi2H at its PBEsol-relaxed geometry. Source: the Alexandria database, functional meta-GGA SCAN.

Computed properties:
- DFT total energy (eV/f.u.) = -69.3
- V (Å³ per cell) = 105.5

Cell: 4.5338 4.5338 5.1317 Å, 90.00 90.00 90.00°
Atoms (fractional coordinates):
Y 0.0000 0.0000 0.0000
Ti 0.0000 0.0000 0.5000
Ni 0.0000 0.5000 0.0000
Ni 0.5000 0.0000 0.0000
H 0.5000 0.5000 0.5000

***

Entry 10:
ZrTiNi2H6 at its PBEsol-relaxed geometry. Source: the Alexandria database, functional meta-GGA SCAN.

Computed properties:
- DFT total energy (eV/f.u.) = -104.1
- V (Å³ per cell) = 71.8

Cell: 4.1797 5.3277 5.3277 Å, 37.23 90.00 90.00°
Atoms (fractional coordinates):
Zr 0.0000 0.0000 0.0000
Ti 0.5000 0.7179 0.7179
Ni 0.0000 0.2862 0.2862
Ni 0.5000 0.4251 0.4251
H 0.0000 0.7835 0.7835
H 0.2553 0.5532 0.5532
H 0.2757 0.1747 0.1747
H 0.5000 0.9185 0.9185
H 0.7243 0.1747 0.1747
H 0.7447 0.5532 0.5532

***

Entry 11:
NiH2W at its PBEsol-relaxed geometry. Source: the Alexandria database, functional meta-GGA SCAN.

Computed properties:
- DFT total energy (eV/f.u.) = -91.8
- V (Å³ per cell) = 64.2

Cell: 4.9526 4.9526 4.9526 Å, 132.82 132.82 68.94°
Atoms (fractional coordinates):
Ni 0.0000 0.0000 0.0000
Ni 0.7500 0.2500 0.5000
H 0.0740 0.6250 0.9490
H 0.3750 0.3240 0.4490
H 0.6760 0.1250 0.0510
H 0.8750 0.9260 0.5510
W 0.2500 0.7500 0.5000
W 0.5000 0.5000 0.0000

***

Entry 12:
Y2NiH2 at its PBEsol-relaxed geometry. Source: the Alexandria database, functional meta-GGA SCAN.

Computed properties:
- DFT total energy (eV/f.u.) = -81.7
- V (Å³ per cell) = 71.3

Cell: 6.5786 6.5786 6.5786 Å, 149.92 149.92 43.06°
Atoms (fractional coordinates):
Y 0.1364 0.1364 0.0000
Y 0.8636 0.8636 0.0000
Ni 0.5000 0.5000 0.0000
H 0.2500 0.7500 0.5000
H 0.7500 0.2500 0.5000

***

Entry 13:
YNi2H at its PBEsol-relaxed geometry. Source: the Alexandria database, functional meta-GGA SCAN.

Computed properties:
- DFT total energy (eV/f.u.) = -61.5
- V (Å³ per cell) = 52.8

Cell: 4.2107 4.2107 4.2107 Å, 60.00 60.00 60.00°
Atoms (fractional coordinates):
Y 0.0000 0.0000 0.0000
Ni 0.2500 0.2500 0.2500
Ni 0.7500 0.7500 0.7500
H 0.5000 0.5000 0.5000

***

Entry 14:
YZr2NiH at its PBEsol-relaxed geometry. Source: the Alexandria database, functional meta-GGA SCAN.

Computed properties:
- DFT total energy (eV/f.u.) = -109.1
- V (Å³ per cell) = 84.4

Cell: 4.2032 4.2032 4.7789 Å, 90.00 90.00 90.00°
Atoms (fractional coordinates):
Y 0.0000 0.0000 0.0000
Zr 0.0000 0.5000 0.5000
Zr 0.5000 0.0000 0.5000
Ni 0.5000 0.5000 0.0000
H 0.0000 0.0000 0.5000

***

Entry 15:
ZnNi3H at its PBEsol-relaxed geometry. Source: the Alexandria database, functional meta-GGA SCAN.

Computed properties:
- DFT total energy (eV/f.u.) = -66.2
- V (Å³ per cell) = 45.6

Cell: 3.5716 3.5716 3.5716 Å, 90.00 90.00 90.00°
Atoms (fractional coordinates):
Zn 0.0000 0.0000 0.0000
Ni 0.0000 0.5000 0.5000
Ni 0.5000 0.0000 0.5000
Ni 0.5000 0.5000 0.0000
H 0.5000 0.5000 0.5000

***

Entry 16:
Zr2NiH2 at its PBEsol-relaxed geometry. Source: the Alexandria database, functional meta-GGA SCAN.

Computed properties:
- DFT total energy (eV/f.u.) = -87.0
- V (Å³ per cell) = 58.8

Cell: 6.3652 6.3652 6.3652 Å, 151.46 151.46 40.80°
Atoms (fractional coordinates):
Zr 0.1360 0.1360 0.0000
Zr 0.8640 0.8640 0.0000
Ni 0.5000 0.5000 0.0000
H 0.2500 0.7500 0.5000
H 0.7500 0.2500 0.5000

***

Entry 17:
ZrNi3H at its PBEsol-relaxed geometry. Source: the Alexandria database, functional meta-GGA SCAN.

Computed properties:
- DFT total energy (eV/f.u.) = -83.7
- V (Å³ per cell) = 53.2

Cell: 3.7620 3.7620 3.7620 Å, 90.00 90.00 90.00°
Atoms (fractional coordinates):
Zr 0.0000 0.0000 0.0000
Ni 0.0000 0.5000 0.5000
Ni 0.5000 0.0000 0.5000
Ni 0.5000 0.5000 0.0000
H 0.5000 0.5000 0.5000

***

Entry 18:
Zr3NiH at its PBEsol-relaxed geometry. Source: the Alexandria database, functional meta-GGA SCAN.

Computed properties:
- DFT total energy (eV/f.u.) = -112.3
- V (Å³ per cell) = 78.0

Cell: 4.2721 4.2721 4.2721 Å, 90.00 90.00 90.00°
Atoms (fractional coordinates):
Zr 0.0000 0.0000 0.5000
Zr 0.0000 0.5000 0.0000
Zr 0.5000 0.0000 0.0000
Ni 0.5000 0.5000 0.5000
H 0.0000 0.0000 0.0000

***

Entry 19:
NpH3 at its PBEsol-relaxed geometry. Source: the Alexandria database, functional meta-GGA SCAN.

Computed properties:
- DFT total energy (eV/f.u.) = -118.0
- V (Å³ per cell) = 32.5

Cell: 3.8336 3.8336 3.8336 Å, 129.71 129.71 73.87°
Atoms (fractional coordinates):
Np 0.0000 0.0000 0.0000
H 0.2500 0.7500 0.5000
H 0.5000 0.5000 0.0000
H 0.7500 0.2500 0.5000

***

Entry 20:
P2H4PbO4 at its PBEsol-relaxed geometry. Source: the Alexandria database, functional meta-GGA SCAN.

Computed properties:
- DFT total energy (eV/f.u.) = -148.6
- V (Å³ per cell) = 272.0

Cell: 8.2337 8.2337 5.9448 Å, 93.46 93.46 42.55°
Atoms (fractional coordinates):
P 0.1064 0.6106 0.7263
P 0.3893 0.8936 0.7737
P 0.6106 0.1064 0.2263
P 0.8936 0.3893 0.2737
H 0.0854 0.3114 0.4151
H 0.1761 0.4234 0.8493
H 0.3114 0.0854 0.9151
H 0.4234 0.1761 0.3493
H 0.5766 0.8239 0.6507
H 0.6886 0.9146 0.0849
H 0.8239 0.5766 0.1507
H 0.9146 0.6886 0.5849
Pb 0.2505 0.7495 0.2500
Pb 0.7495 0.2505 0.7500
O 0.0066 0.8161 0.8900
O 0.1839 0.9934 0.6100
O 0.3138 0.5041 0.5792
O 0.4959 0.6862 0.9208
O 0.5041 0.3138 0.0792
O 0.6862 0.4959 0.4208
O 0.8161 0.0066 0.3900
O 0.9934 0.1839 0.1100